The following is a PBE calculation of crystalline Ti8Sb2Ru at its relaxed geometry, from Alexandria via LeMat-Bulk.

a = 7.8074 Å, b = 7.8074 Å, c = 7.8074 Å
α = 145.55°, β = 133.01°, γ = 59.56°
Atoms (fractional coordinates):
Ti 0.1101 0.3580 0.7522
Ti 0.1726 0.1726 0.0000
Ti 0.2438 0.0000 0.2438
Ti 0.3942 0.6420 0.7522
Ti 0.6058 0.3580 0.2478
Ti 0.7562 0.0000 0.7562
Ti 0.8274 0.8274 0.0000
Ti 0.8899 0.6420 0.2478
Sb 0.3190 0.8190 0.5000
Sb 0.6810 0.1810 0.5000
Ru 0.0000 0.5000 0.5000

final energy: -7.667 eV/atom
magnetization: 0.00 μB/cell